Version 1
# Ba3Ge2P4

A geometry-optimized Ba3Ge2P4 structure (GGA-PBE, Alexandria).

Properties
- total magnetic moment (μB per formula unit) = 0.000
- volume (Å³/cell) = 541.9
- DOS at the Fermi energy (states/eV/cell) = 3.543
- symmetry = C2/c
- crystal system = monoclinic

The structure in POSCAR format:
```
Ba3Ge2P4
1.0
7.7885 -4.3934 0.0000
7.7885 4.3934 0.0000
-0.0767 0.0000 7.9187
Ba Ge P
6 4 8
direct
0.0223 0.9777 0.7500
0.2616 0.4739 0.3969
0.4739 0.2616 0.8969
0.5261 0.7384 0.1031
0.7384 0.5261 0.6031
0.9777 0.0223 0.2500
0.0374 0.3354 0.9921
0.3354 0.0374 0.4921
0.6646 0.9626 0.5079
0.9626 0.6646 0.0079
0.1546 0.2720 0.6831
0.2158 0.6679 0.0153
0.2720 0.1546 0.1831
0.3321 0.7842 0.4847
0.6679 0.2158 0.5153
0.7280 0.8454 0.8169
0.7842 0.3321 0.9847
0.8454 0.7280 0.3169
```



Version 2
# Ba3Ge2P4

A geometry-optimized Ba3Ge2P4 structure (GGA-PBE, Alexandria).

Properties
- total magnetic moment (μB per formula unit) = 0.000
- volume (Å³/cell) = 528.6
- DOS at the Fermi energy (states/eV/cell) = 3.931
- symmetry = C2/c
- crystal system = monoclinic

The structure in POSCAR format:
```
Ba3Ge2P4
1.0
6.8119 -5.7294 0.0000
6.8119 5.7294 0.0000
-0.0639 0.0000 6.7720
Ba Ge P
6 4 8
direct
0.1142 0.8858 0.7500
0.2431 0.5114 0.4397
0.4886 0.7569 0.0603
0.5114 0.2431 0.9397
0.7569 0.4886 0.5603
0.8858 0.1142 0.2500
0.0977 0.3250 0.9233
0.3250 0.0977 0.4233
0.6750 0.9023 0.5767
0.9023 0.6750 0.0767
0.0915 0.2348 0.5887
0.2246 0.5370 0.9412
0.2348 0.0915 0.0887
0.4630 0.7754 0.5588
0.5370 0.2246 0.4412
0.7652 0.9085 0.9113
0.7754 0.4630 0.0588
0.9085 0.7652 0.4113
```



Most stable structure, least stable structure: version 1, version 2.



Version 1
# BaGePS2

A geometry-optimized BaGePS2 structure (GGA-PBE, Alexandria).

Properties
- total magnetic moment (μB per formula unit) = 0.267
- volume (Å³/cell) = 177.3
- DOS at the Fermi energy (states/eV/cell) = 5.393
- symmetry = P4/mmm
- crystal system = tetragonal

The structure in POSCAR format:
```
BaGePS2
1.0
5.6455 0.0000 0.0000
0.0000 5.6455 0.0000
0.0000 0.0000 5.5615
Ba Ge P S
1 1 1 2
direct
0.0000 0.0000 0.0000
0.5000 0.5000 0.5000
0.0000 0.0000 0.5000
0.0000 0.5000 0.0000
0.5000 0.0000 0.0000
```



Version 2
# BaGePS2

A geometry-optimized BaGePS2 structure (GGA-PBE, Alexandria).

Properties
- total magnetic moment (μB per formula unit) = 3.494
- volume (Å³/cell) = 223.2
- DOS at the Fermi energy (states/eV/cell) = 5.139
- symmetry = P4/mmm
- crystal system = tetragonal

The structure in POSCAR format:
```
BaGePS2
1.0
5.8138 0.0000 0.0000
0.0000 5.8138 0.0000
0.0000 0.0000 6.6028
Ba Ge P S
1 1 1 2
direct
0.0000 0.0000 0.0000
0.0000 0.0000 0.5000
0.5000 0.5000 0.5000
0.0000 0.5000 0.0000
0.5000 0.0000 0.0000
```



Version 3
# BaGePS2

A geometry-optimized BaGePS2 structure (GGA-PBE, Alexandria).

Properties
- total magnetic moment (μB per formula unit) = 0.001
- volume (Å³/cell) = 118.9
- DOS at the Fermi energy (states/eV/cell) = 3.391
- symmetry = P4/mmm
- crystal system = tetragonal

The structure in POSCAR format:
```
BaGePS2
1.0
5.0173 0.0000 0.0000
0.0000 5.0173 0.0000
0.0000 0.0000 4.7232
Ba Ge P S
1 1 1 2
direct
0.0000 0.0000 0.0000
0.5000 0.5000 0.5000
0.5000 0.5000 0.0000
0.0000 0.5000 0.5000
0.5000 0.0000 0.5000
```



Most stable structure, least stable structure: version 3, version 2.



Version 1
# BaGePb

A geometry-optimized BaGePb structure (GGA-PBE, Alexandria).

Properties
- total magnetic moment (μB per formula unit) = 0.000
- volume (Å³/cell) = 403.6
- DOS at the Fermi energy (states/eV/cell) = 8.382
- symmetry = Cmcm
- crystal system = orthorhombic

The structure in POSCAR format:
```
BaGePb
1.0
4.7203 0.0000 0.0000
0.0000 20.6146 0.0000
0.0000 0.0000 4.1477
Ba Ge Pb
4 4 4
direct
0.0000 0.0964 0.2500
0.0000 0.9036 0.7500
0.5000 0.4036 0.7500
0.5000 0.5964 0.2500
0.0000 0.4641 0.2500
0.0000 0.5359 0.7500
0.5000 0.0359 0.7500
0.5000 0.9641 0.2500
0.0000 0.2822 0.2500
0.0000 0.7178 0.7500
0.5000 0.2178 0.7500
0.5000 0.7822 0.2500
```



Version 2
# BaGePb

A geometry-optimized BaGePb structure (GGA-PBE, Alexandria).

Properties
- total magnetic moment (μB per formula unit) = 0.000
- volume (Å³/cell) = 406.8
- DOS at the Fermi energy (states/eV/cell) = 1.001
- symmetry = P2_1/c
- crystal system = monoclinic

The structure in POSCAR format:
```
BaGePb
1.0
6.6873 0.0000 0.0000
0.0000 8.2120 0.0000
-3.5747 0.0000 7.4068
Ba Ge Pb
4 4 4
direct
0.2197 0.1702 0.3994
0.2197 0.3298 0.8994
0.7803 0.6702 0.1006
0.7803 0.8298 0.6006
0.3568 0.5629 0.2688
0.3568 0.9371 0.7688
0.6432 0.0629 0.2312
0.6432 0.4371 0.7312
0.2473 0.6342 0.5637
0.2473 0.8658 0.0637
0.7527 0.1342 0.9363
0.7527 0.3658 0.4363
```



Most stable structure, least stable structure: version 1, version 2.



Version 1
# Ba2Ge2Pb3

A geometry-optimized Ba2Ge2Pb3 structure (GGA-PBE, Alexandria).

Properties
- total magnetic moment (μB per formula unit) = 0.000
- volume (Å³/cell) = 468.0
- DOS at the Fermi energy (states/eV/cell) = 8.922
- symmetry = Cmmm
- crystal system = orthorhombic

The structure in POSCAR format:
```
Ba2Ge2Pb3
1.0
4.0653 0.0000 0.0000
0.0000 24.7880 0.0000
0.0000 0.0000 4.6443
Ba Ge Pb
4 4 6
direct
0.0000 0.1639 0.0000
0.0000 0.8361 0.0000
0.5000 0.3361 0.0000
0.5000 0.6639 0.0000
0.0000 0.2798 0.5000
0.0000 0.7202 0.5000
0.5000 0.2202 0.5000
0.5000 0.7798 0.5000
0.0000 0.0000 0.0000
0.0000 0.4355 0.5000
0.0000 0.5645 0.5000
0.5000 0.0645 0.5000
0.5000 0.5000 0.0000
0.5000 0.9355 0.5000
```



Version 2
# Ba2Ge2Pb3

A geometry-optimized Ba2Ge2Pb3 structure (GGA-PBE, Alexandria).

Properties
- total magnetic moment (μB per formula unit) = 0.000
- volume (Å³/cell) = 464.6
- DOS at the Fermi energy (states/eV/cell) = 5.884
- symmetry = C2/m
- crystal system = monoclinic

The structure in POSCAR format:
```
Ba2Ge2Pb3
1.0
12.9596 0.0000 0.0000
0.0000 4.6248 0.0000
-0.6535 0.0000 7.7509
Ba Ge Pb
4 4 6
direct
0.1385 0.0000 0.3124
0.3615 0.5000 0.6876
0.6385 0.5000 0.3124
0.8615 0.0000 0.6876
0.0750 0.5000 0.6173
0.4250 0.0000 0.3827
0.5750 0.0000 0.6173
0.9250 0.5000 0.3827
0.0000 0.5000 0.0000
0.1551 0.0000 0.8187
0.3449 0.5000 0.1813
0.5000 0.0000 0.0000
0.6551 0.5000 0.8187
0.8449 0.0000 0.1813
```



Most stable structure, least stable structure: version 2, version 1.



Version 1
# BaGePb3

A geometry-optimized BaGePb3 structure (GGA-PBE, Alexandria).

Properties
- total magnetic moment (μB per formula unit) = 0.000
- volume (Å³/cell) = 182.5
- DOS at the Fermi energy (states/eV/cell) = 4.319
- symmetry = Pm-3m
- crystal system = cubic

The structure in POSCAR format:
```
BaGePb3
1.0
5.6718 0.0000 0.0000
0.0000 5.6718 0.0000
0.0000 0.0000 5.6718
Ba Ge Pb
1 1 3
direct
0.0000 0.0000 0.0000
0.5000 0.5000 0.5000
0.0000 0.5000 0.5000
0.5000 0.0000 0.5000
0.5000 0.5000 0.0000
```



Version 2
# BaGePb3

A geometry-optimized BaGePb3 structure (GGA-PBE, Alexandria).

Properties
- total magnetic moment (μB per formula unit) = 0.000
- volume (Å³/cell) = 245.2
- DOS at the Fermi energy (states/eV/cell) = 8.101
- symmetry = Pm-3m
- crystal system = cubic

The structure in POSCAR format:
```
BaGePb3
1.0
6.2590 0.0000 0.0000
0.0000 6.2590 0.0000
0.0000 0.0000 6.2590
Ba Ge Pb
1 1 3
direct
0.0000 0.0000 0.0000
0.5000 0.5000 0.5000
0.0000 0.0000 0.5000
0.0000 0.5000 0.0000
0.5000 0.0000 0.0000
```



Most stable structure, least stable structure: version 1, version 2.



Version 1
# Ba2GeRuPb

A geometry-optimized Ba2GeRuPb structure (GGA-PBE, Alexandria).

Properties
- total magnetic moment (μB per formula unit) = 2.002
- volume (Å³/cell) = 210.2
- DOS at the Fermi energy (states/eV/cell) = 2.982
- symmetry = P4/mmm
- crystal system = tetragonal

The structure in POSCAR format:
```
Ba2GeRuPb
1.0
6.3473 0.0000 0.0000
0.0000 6.3473 0.0000
0.0000 0.0000 5.2173
Ba Ge Ru Pb
2 1 1 1
direct
0.0000 0.5000 0.0000
0.5000 0.0000 0.0000
0.0000 0.0000 0.0000
0.5000 0.5000 0.5000
0.0000 0.0000 0.5000
```



Version 2
# Ba2GeRuPb

A geometry-optimized Ba2GeRuPb structure (GGA-PBE, Alexandria).

Properties
- total magnetic moment (μB per formula unit) = 0.000
- volume (Å³/cell) = 213.3
- DOS at the Fermi energy (states/eV/cell) = 7.018
- symmetry = P4/mmm
- crystal system = tetragonal

The structure in POSCAR format:
```
Ba2GeRuPb
1.0
6.5206 0.0000 0.0000
0.0000 6.5206 0.0000
0.0000 0.0000 5.0156
Ba Ge Ru Pb
2 1 1 1
direct
0.0000 0.5000 0.0000
0.5000 0.0000 0.0000
0.0000 0.0000 0.5000
0.5000 0.5000 0.5000
0.5000 0.5000 0.0000
```



Most stable structure, least stable structure: version 2, version 1.



Version 1
# Ba2Ge4Pd5

A geometry-optimized Ba2Ge4Pd5 structure (GGA-PBE, Alexandria).

Properties
- total magnetic moment (μB per formula unit) = 0.000
- volume (Å³/cell) = 240.9
- DOS at the Fermi energy (states/eV/cell) = 6.021
- symmetry = Fmmm
- crystal system = orthorhombic

The structure in POSCAR format:
```
Ba2Ge4Pd5
1.0
0.0000 5.5004 7.0796
3.0937 0.0000 7.0796
3.0937 5.5004 0.0000
Ba Ge Pd
2 4 5
direct
0.1396 0.1396 0.8604
0.8604 0.8604 0.1396
0.2117 0.5346 0.4654
0.4654 0.7883 0.2117
0.5346 0.2117 0.7883
0.7883 0.4654 0.5346
0.0000 0.0000 0.5000
0.2500 0.2500 0.2500
0.5000 0.5000 0.0000
0.5000 0.5000 0.5000
0.7500 0.7500 0.7500
```



Version 2
# Ba2Ge4Pd5

A geometry-optimized Ba2Ge4Pd5 structure (GGA-PBE, Alexandria).

Properties
- total magnetic moment (μB per formula unit) = 0.000
- volume (Å³/cell) = 476.9
- DOS at the Fermi energy (states/eV/cell) = 10.851
- symmetry = Cmce
- crystal system = orthorhombic

The structure in POSCAR format:
```
Ba2Ge4Pd5
1.0
5.5286 -7.1439 0.0000
5.5286 7.1439 0.0000
0.0000 0.0000 6.0372
Ba Ge Pd
4 8 10
direct
0.1421 0.8579 0.9702
0.3579 0.6421 0.4702
0.6421 0.3579 0.5298
0.8579 0.1421 0.0298
0.0446 0.2932 0.5571
0.2068 0.4554 0.9429
0.2932 0.0446 0.4429
0.4554 0.2068 0.0571
0.5446 0.7932 0.9429
0.7068 0.9554 0.5571
0.7932 0.5446 0.0571
0.9554 0.7068 0.4429
0.0000 0.0000 0.5000
0.0227 0.4773 0.2500
0.2263 0.2737 0.2500
0.2737 0.2263 0.7500
0.4773 0.0227 0.7500
0.5000 0.5000 0.0000
0.5227 0.9773 0.2500
0.7263 0.7737 0.2500
0.7737 0.7263 0.7500
0.9773 0.5227 0.7500
```



Most stable structure, least stable structure: version 2, version 1.



Version 1
# BaGe3Pd3

A geometry-optimized BaGe3Pd3 structure (GGA-PBE, Alexandria).

Properties
- total magnetic moment (μB per formula unit) = 0.000
- volume (Å³/cell) = 311.6
- DOS at the Fermi energy (states/eV/cell) = 5.401
- symmetry = R-3
- crystal system = trigonal

The structure in POSCAR format:
```
BaGe3Pd3
1.0
3.3810 1.9520 7.8688
-3.3810 1.9520 7.8688
0.0000 -3.9040 7.8688
Ba Ge Pd
2 6 6
direct
0.1668 0.1668 0.1668
0.8332 0.8332 0.8332
0.1755 0.3709 0.6692
0.3308 0.8245 0.6291
0.3709 0.6692 0.1755
0.6291 0.3308 0.8245
0.6692 0.1755 0.3709
0.8245 0.6291 0.3308
0.0606 0.2581 0.5726
0.2581 0.5726 0.0606
0.4274 0.9394 0.7419
0.5726 0.0606 0.2581
0.7419 0.4274 0.9394
0.9394 0.7419 0.4274
```



Version 2
# BaGe3Pd3

A geometry-optimized BaGe3Pd3 structure (GGA-PBE, Alexandria).

Properties
- total magnetic moment (μB per formula unit) = 0.000
- volume (Å³/cell) = 333.5
- DOS at the Fermi energy (states/eV/cell) = 9.419
- symmetry = Pm-3n
- crystal system = cubic

The structure in POSCAR format:
```
BaGe3Pd3
1.0
6.9350 0.0000 0.0000
0.0000 6.9350 0.0000
0.0000 0.0000 6.9350
Ba Ge Pd
2 6 6
direct
0.0000 0.0000 0.0000
0.5000 0.5000 0.5000
0.0000 0.2500 0.5000
0.0000 0.7500 0.5000
0.2500 0.5000 0.0000
0.5000 0.0000 0.2500
0.5000 0.0000 0.7500
0.7500 0.5000 0.0000
0.0000 0.5000 0.2500
0.0000 0.5000 0.7500
0.2500 0.0000 0.5000
0.5000 0.2500 0.0000
0.5000 0.7500 0.0000
0.7500 0.0000 0.5000
```



Version 3
# BaGe3Pd3

A geometry-optimized BaGe3Pd3 structure (GGA-PBE, Alexandria).

Properties
- total magnetic moment (μB per formula unit) = 0.000
- volume (Å³/cell) = 342.8
- DOS at the Fermi energy (states/eV/cell) = 6.351
- symmetry = P6_3/m
- crystal system = hexagonal

The structure in POSCAR format:
```
BaGe3Pd3
1.0
9.1796 0.0000 0.0000
-4.5898 7.9498 0.0000
0.0000 0.0000 4.6968
Ba Ge Pd
2 6 6
direct
0.3333 0.6667 0.2500
0.6667 0.3333 0.7500
0.0494 0.3734 0.7500
0.3240 0.9506 0.7500
0.3734 0.3240 0.2500
0.6266 0.6760 0.7500
0.6760 0.0494 0.2500
0.9506 0.6266 0.2500
0.0608 0.6729 0.7500
0.3271 0.3879 0.7500
0.3879 0.0608 0.2500
0.6121 0.9392 0.7500
0.6729 0.6121 0.2500
0.9392 0.3271 0.2500
```



Most stable structure, least stable structure: version 2, version 3.



Version 1
# BaGe2Pd4

A geometry-optimized BaGe2Pd4 structure (GGA-PBE, Alexandria).

Properties
- total magnetic moment (μB per formula unit) = 0.000
- volume (Å³/cell) = 555.9
- DOS at the Fermi energy (states/eV/cell) = 11.554
- symmetry = Pnma
- crystal system = orthorhombic

The structure in POSCAR format:
```
BaGe2Pd4
1.0
18.2233 0.0000 0.0000
0.0000 4.1402 0.0000
0.0000 0.0000 7.3683
Ba Ge Pd
4 8 16
direct
0.1078 0.2500 0.0333
0.3922 0.7500 0.5333
0.6078 0.2500 0.4667
0.8922 0.7500 0.9667
0.0507 0.7500 0.6884
0.2434 0.2500 0.5102
0.2566 0.7500 0.0102
0.4493 0.2500 0.1884
0.5507 0.7500 0.8116
0.7434 0.2500 0.9898
0.7566 0.7500 0.4898
0.9493 0.2500 0.3116
0.0325 0.7500 0.3467
0.1106 0.2500 0.5152
0.1959 0.7500 0.7034
0.2000 0.7500 0.3219
0.3000 0.2500 0.8219
0.3041 0.2500 0.2034
0.3894 0.7500 0.0152
0.4675 0.2500 0.8467
0.5325 0.7500 0.1533
0.6106 0.2500 0.9848
0.6959 0.7500 0.7966
0.7000 0.7500 0.1781
0.8000 0.2500 0.6781
0.8041 0.2500 0.2966
0.8894 0.7500 0.4848
0.9675 0.2500 0.6533
```



Version 2
# BaGe2Pd4

A geometry-optimized BaGe2Pd4 structure (GGA-PBE, Alexandria).

Properties
- total magnetic moment (μB per formula unit) = 0.000
- volume (Å³/cell) = 283.4
- DOS at the Fermi energy (states/eV/cell) = 9.138
- symmetry = Cmmm
- crystal system = orthorhombic

The structure in POSCAR format:
```
BaGe2Pd4
1.0
4.4657 0.0000 0.0000
0.0000 14.2704 0.0000
0.0000 0.0000 4.4479
Ba Ge Pd
2 4 8
direct
0.0000 0.0000 0.0000
0.5000 0.5000 0.0000
0.0000 0.3891 0.5000
0.0000 0.6109 0.5000
0.5000 0.1109 0.5000
0.5000 0.8891 0.5000
0.0000 0.1866 0.5000
0.0000 0.3126 0.0000
0.0000 0.6874 0.0000
0.0000 0.8134 0.5000
0.5000 0.1874 0.0000
0.5000 0.3134 0.5000
0.5000 0.6866 0.5000
0.5000 0.8126 0.0000
```



Most stable structure, least stable structure: version 1, version 2.